A plane-wave DFT calculation with GGA-PBE was carried out for an optimized crystal structure of AcBi2IrO8.

Values from the calculation:
E_form (uncorrected) ... -1389 meV per atom
Uncorrected energy ... -6.42 eV/atom
Symmetry ... P2/m, No. 10
DOS(E_F) ... 0.448 states/eV per atom
Magnetic moment ... 0.67 μB per cell

Structure (extended XYZ):
```
12
Lattice="5.271 0.079 -0.003 0.133 5.283 -0.006 0.004 0.008 7.013" Properties=species:S:1:pos:R:3 pbc="T T T"
O 4.050 4.082 7.006
O 3.624 3.639 3.501
O 1.785 1.731 3.503
O 4.347 1.068 5.561
O 1.061 4.302 1.443
O 1.065 4.307 5.559
O 1.359 1.288 -0.002
O 4.344 1.063 1.445
Ac 0.002 0.004 3.507
Bi 2.705 2.687 5.290
Bi 2.703 2.683 1.714
Ir 0.000 0.000 0.000
```